Density functional theory data (GGA+U) for an optimized crystal structure of VRu2F.

Results
Total DFT energy (no corrections) in eV per atom: -6.4849
Total magnetization in μB per cell: 0.5
Space group: Fm-3m

abc: 4.2062 4.2062 4.2062
angles: 60.00 60.00 60.00
Site moments in Bohr magnetons follow the coordinates.
Positions (direct):
F (0.0000, 0.0000, 0.0000)  0.03
V (0.5000, 0.5000, 0.5000)  -0.52
Ru (0.2500, 0.2500, 0.2500)  0.47
Ru (0.7500, 0.7500, 0.7500)  0.47